# MnIrOs2

A crystal of MnIrOs2 relaxed with PBEsol (SCAN, Alexandria via LeMat-Bulk).

Properties
Formation energy in kJ/mol of atoms: 1.0
Relative energy among the computed polymorphs in meV per atom: 124.4

```
4
Lattice="1.335 0.771 8.597 -1.335 0.771 8.597 0.000 -1.542 8.597" Properties=species:S:1:pos:R:3 pbc="T T T"
Mn 0.000 0.000 0.000
Ir 0.000 0.000 19.263
Os 0.000 0.000 6.550
Os 0.000 0.000 12.928
```



# DySi2Pd2

A crystal of DySi2Pd2 relaxed with PBEsol (SCAN, Alexandria via LeMat-Bulk).

```
5
Lattice="-2.044 2.044 4.950 2.044 -2.044 4.950 2.044 2.044 -4.950" Properties=species:S:1:pos:R:3 pbc="T T T"
Dy 0.000 0.000 0.000
Si 0.000 0.000 3.796
Si 0.000 0.000 6.103
Pd 2.044 0.000 2.475
Pd 0.000 2.044 2.475
```



# Ni2BAsSe

A crystal of Ni2BAsSe relaxed with PBEsol (SCAN, Alexandria via LeMat-Bulk).

```
5
Lattice="4.468 0.000 0.000 0.000 4.468 0.000 0.000 0.000 3.820" Properties=species:S:1:pos:R:3 pbc="T T T"
Ni 0.000 2.234 0.000
Ni 2.234 0.000 0.000
B 0.000 0.000 1.910
As 0.000 0.000 0.000
Se 2.234 2.234 1.910
```



# CdP14Pb

A crystal of CdP14Pb relaxed with PBEsol (SCAN, Alexandria via LeMat-Bulk).

Properties
Formation energy in kJ/mol of atoms: 3.4

```
64
Lattice="13.887 0.000 0.000 0.000 9.766 0.000 0.000 0.000 10.501" Properties=species:S:1:pos:R:3 pbc="T T T"
Cd 1.222 2.441 0.896
Cd 5.721 7.324 6.147
Cd 8.165 2.441 4.354
Cd 12.665 7.324 9.605
P 0.702 0.839 4.335
P 0.702 4.044 4.335
P 0.751 0.785 8.865
P 0.751 4.098 8.865
P 0.913 7.324 4.250
P 0.971 2.441 7.434
P 1.177 7.324 8.715
P 1.299 5.622 7.321
P 1.299 9.027 7.321
P 1.397 5.285 1.353
P 1.397 9.363 1.353
P 1.881 2.441 3.415
P 2.023 5.581 3.426
P 2.023 9.067 3.426
P 4.921 0.698 8.677
P 4.921 4.184 8.677
P 5.062 7.324 8.666
P 5.547 0.403 6.603
P 5.547 4.480 6.603
P 5.644 0.739 2.071
P 5.644 4.144 2.071
P 5.766 2.441 3.465
P 5.972 7.324 2.183
P 6.031 2.441 9.500
P 6.192 5.667 3.614
P 6.192 8.981 3.614
P 6.241 5.722 9.586
P 6.241 8.926 9.586
P 7.646 0.839 0.915
P 7.646 4.044 0.915
P 7.695 0.785 6.887
P 7.695 4.098 6.887
P 7.856 7.324 1.001
P 7.915 2.441 8.318
P 8.120 7.324 7.037
P 8.242 5.622 8.431
P 8.242 9.027 8.431
P 8.340 5.285 3.898
P 8.340 9.363 3.898
P 8.824 2.441 1.835
P 8.966 5.581 1.824
P 8.966 9.067 1.824
P 11.864 0.698 7.075
P 11.864 4.184 7.075
P 12.006 7.324 7.086
P 12.490 0.403 9.149
P 12.490 4.480 9.149
P 12.588 0.739 3.180
P 12.588 4.144 3.180
P 12.710 2.441 1.786
P 12.915 7.324 3.068
P 12.974 2.441 6.251
P 13.135 5.667 1.636
P 13.135 8.981 1.636
P 13.184 5.722 6.166
P 13.184 8.926 6.166
Pb 3.062 7.324 0.321
Pb 3.881 2.441 5.572
Pb 10.006 7.324 4.930
Pb 10.824 2.441 10.180
```



| no. | calculated total energy (eV/atom) |
| --- | --- |
| 1 | -58.27 |
| 2 | -27.68 |
| 3 | -15.03 |
| 4 | -15.70 |